A relaxed structure of SrCdIO6, computed with PBE-GGA.

Structure (CIF):
```
data_SrCdIO6
_chemical_formula_sum 'Sr1 Cd1 I1 O6'
_space_group_name_H-M_alt 'P 1'
_space_group_IT_number 1
_cell_length_a 5.592
_cell_length_b 5.592
_cell_length_c 5.243
_cell_angle_alpha 90.00
_cell_angle_beta 90.00
_cell_angle_gamma 120.00
loop_
_space_group_symop_operation_xyz
'x,y,z'
loop_
_atom_site_label
_atom_site_fract_x
_atom_site_fract_y
_atom_site_fract_z
Sr1 0.000 0.000 0.000
Cd1 0.333 0.667 0.500
I1 0.667 0.333 0.500
O1 0.394 0.051 0.710
O2 0.394 0.344 0.290
O3 0.656 0.051 0.290
O4 0.656 0.606 0.710
O5 0.949 0.344 0.710
O6 0.949 0.606 0.290
```

* magnetization: 1.1 μB/f.u.
* E_form (uncorrected): -1.071 eV per atom

=====

A relaxed structure of KZnCd, computed with PBE-GGA.

Structure (CIF):
```
data_KZnCd
_chemical_formula_sum 'K1 Zn1 Cd1'
_space_group_name_H-M_alt 'P 1'
_space_group_IT_number 1
_cell_length_a 4.860
_cell_length_b 4.860
_cell_length_c 4.652
_cell_angle_alpha 90.00
_cell_angle_beta 90.00
_cell_angle_gamma 120.00
loop_
_space_group_symop_operation_xyz
'x,y,z'
loop_
_atom_site_label
_atom_site_fract_x
_atom_site_fract_y
_atom_site_fract_z
K1 0.000 0.000 0.000
Zn1 0.667 0.333 0.500
Cd1 0.333 0.667 0.500
```

* excess energy over the best structure of this formula in the dataset: 0.059 eV per atom
* magnetization: 0.0 μB/f.u.
* energy of formation: 0.039 eV per atom

=====

A relaxed structure of HI4, computed with PBE-GGA.

Structure (CIF):
```
data_HI4
_chemical_formula_sum 'H1 I4'
_space_group_name_H-M_alt 'P 1'
_space_group_IT_number 1
_cell_length_a 5.223
_cell_length_b 5.223
_cell_length_c 5.223
_cell_angle_alpha 90.00
_cell_angle_beta 90.00
_cell_angle_gamma 90.00
loop_
_space_group_symop_operation_xyz
'x,y,z'
loop_
_atom_site_label
_atom_site_fract_x
_atom_site_fract_y
_atom_site_fract_z
H1 0.000 0.000 0.000
I1 0.000 0.000 0.500
I2 0.000 0.500 0.000
I3 0.500 0.000 0.000
I4 0.500 0.500 0.500
```

* uncorrected energy: -1.2210 eV/atom
* magnetization: 0.0 μB/f.u.

=====

A relaxed structure of TmPuTe, computed with PBE-GGA.

Structure (CIF):
```
data_TmPuTe
_chemical_formula_sum 'Tm1 Pu1 Te1'
_space_group_name_H-M_alt 'P 1'
_space_group_IT_number 1
_cell_length_a 5.131
_cell_length_b 5.131
_cell_length_c 3.804
_cell_angle_alpha 90.00
_cell_angle_beta 90.00
_cell_angle_gamma 120.00
loop_
_space_group_symop_operation_xyz
'x,y,z'
loop_
_atom_site_label
_atom_site_fract_x
_atom_site_fract_y
_atom_site_fract_z
Tm1 0.000 0.000 0.000
Pu1 0.333 0.667 0.500
Te1 0.667 0.333 0.998
```

* excess energy over the best structure of this formula in the dataset: 0.335 eV per atom
* magnetization: 6.4 μB/f.u.
* E_form (uncorrected): -0.368 eV per atom